[1]
ScAsCl2 after structural relaxation, computed with PBE-GGA.

Values from the calculation:
ΔE_f (raw) ... -0.55 eV/atom
Space group ... P4/mmm
Mass density ... 3.91 g/cm3

Cell and atoms, written as POSCAR:
```
ScAsCl2
1.0
4.2759 0.0000 0.0000
0.0000 4.2759 0.0000
0.0000 0.0000 4.4341
Sc As Cl
1 1 2
direct
0.0000 0.0000 0.0000 Sc
0.5000 0.5000 0.0000 As
0.0000 0.5000 0.5000 Cl
0.5000 0.0000 0.5000 Cl
```

[2]
KZn2Mo after structural relaxation, computed with PBE-GGA.

Values from the calculation:
Space group ... I-4m2
Mass density ... 5.52 g/cm3
DFT formation energy ... 1.0437 eV per atom

Cell and atoms, written as POSCAR:
```
KZn2Mo
1.0
-2.0331 2.0331 4.8357
2.0331 -2.0331 4.8357
2.0331 2.0331 -4.8357
K Zn Mo
1 2 1
direct
0.0000 0.0000 0.0000 K
0.5000 0.5000 0.0000 Zn
0.7500 0.2500 0.5000 Zn
0.2500 0.7500 0.5000 Mo
```

[3]
UPClO4 after structural relaxation, computed with PBE-GGA.

Values from the calculation:
ΔE_f (raw) ... -2.49 eV/atom
Space group ... C2/m
Mass density ... 5.65 g/cm3

Cell and atoms, written as POSCAR:
```
UPClO4
1.0
4.9048 -3.4760 0.0000
4.9048 3.4760 0.0000
-1.6713 0.0000 6.3521
U P Cl O
2 2 2 8
direct
0.2379 0.2379 0.1482 U
0.7621 0.7621 0.8518 U
0.3630 0.3630 0.7335 P
0.6370 0.6370 0.2665 P
0.0198 0.0198 0.7662 Cl
0.9802 0.9802 0.2338 Cl
0.1365 0.4866 0.8469 O
0.2891 0.2891 0.4979 O
0.4769 0.4769 0.2304 O
0.4866 0.1365 0.8469 O
0.5134 0.8635 0.1531 O
0.5231 0.5231 0.7696 O
0.7109 0.7109 0.5021 O
0.8635 0.5134 0.1531 O
```

[4]
BaGe2Te after structural relaxation, computed with PBE-GGA.

Values from the calculation:
ΔE_f (raw) ... -0.12 eV/atom
Space group ... I-42d
Mass density ... 5.40 g/cm3

Cell and atoms, written as POSCAR:
```
BaGe2Te
1.0
-4.3826 4.3826 3.2847
4.3826 -4.3826 3.2847
4.3826 4.3826 -3.2847
Ba Ge Te
2 4 2
direct
0.0000 0.0000 0.0000 Ba
0.7500 0.2500 0.5000 Ba
0.1658 0.6250 0.0408 Ge
0.3750 0.4158 0.5408 Ge
0.5842 0.1250 0.9592 Ge
0.8750 0.8342 0.4592 Ge
0.2500 0.7500 0.5000 Te
0.5000 0.5000 0.0000 Te
```

[5]
HfMg2Co after structural relaxation, computed with PBE-GGA.

Values from the calculation:
Space group ... Fm-3m
Mass density ... 6.83 g/cm3
DFT formation energy ... 0.3569 eV per atom

Cell and atoms, written as POSCAR:
```
HfMg2Co
1.0
0.0000 3.2646 3.2646
3.2646 0.0000 3.2646
3.2646 3.2646 0.0000
Hf Mg Co
1 2 1
direct
0.0000 0.0000 0.0000 Hf
0.2500 0.2500 0.2500 Mg
0.7500 0.7500 0.7500 Mg
0.5000 0.5000 0.5000 Co
```

[6]
Nd15Sm4Al after structural relaxation, computed with PBE-GGA.

Values from the calculation:
Space group ... P4/mmm
Mass density ... 6.85 g/cm3
DFT formation energy ... -0.0113 eV per atom

Cell and atoms, written as POSCAR:
```
Nd15Sm4Al
1.0
5.1116 0.0000 0.0000
0.0000 5.1116 0.0000
0.0000 0.0000 25.8870
Nd Sm Al
15 4 1
direct
0.0000 0.0000 0.0000 Nd
0.0000 0.0000 0.1944 Nd
0.0000 0.0000 0.3981 Nd
0.0000 0.0000 0.6019 Nd
0.0000 0.0000 0.8056 Nd
0.0000 0.5000 0.0928 Nd
0.0000 0.5000 0.2966 Nd
0.0000 0.5000 0.5000 Nd
0.0000 0.5000 0.7034 Nd
0.0000 0.5000 0.9072 Nd
0.5000 0.0000 0.0928 Nd
0.5000 0.0000 0.2966 Nd
0.5000 0.0000 0.5000 Nd
0.5000 0.0000 0.7034 Nd
0.5000 0.0000 0.9072 Nd
0.5000 0.5000 0.1953 Sm
0.5000 0.5000 0.3988 Sm
0.5000 0.5000 0.6012 Sm
0.5000 0.5000 0.8047 Sm
0.5000 0.5000 0.0000 Al
```

[7]
TaMoC2 after structural relaxation, computed with PBE-GGA.

Values from the calculation:
Space group ... I-42d
Mass density ... 9.23 g/cm3
DFT formation energy ... 0.2378 eV per atom

Cell and atoms, written as POSCAR:
```
TaMoC2
1.0
-2.3731 2.3731 4.8083
2.3731 -2.3731 4.8083
2.3731 2.3731 -4.8083
Ta Mo C
2 2 4
direct
0.0000 0.0000 0.0000 Ta
0.7500 0.2500 0.5000 Ta
0.2500 0.7500 0.5000 Mo
0.5000 0.5000 0.0000 Mo
0.1349 0.6250 0.0099 C
0.3750 0.3849 0.5099 C
0.6151 0.1250 0.9901 C
0.8750 0.8651 0.4901 C
```

[8]
HgC3 after structural relaxation, computed with PBE-GGA.

Values from the calculation:
Space group ... Pm-3m
Mass density ... 8.45 g/cm3
DFT formation energy ... 3.8246 eV per atom

Cell and atoms, written as POSCAR:
```
HgC3
1.0
3.5958 0.0000 0.0000
0.0000 3.5958 0.0000
0.0000 0.0000 3.5958
Hg C
1 3
direct
0.0000 0.0000 0.0000 Hg
0.0000 0.5000 0.5000 C
0.5000 0.0000 0.5000 C
0.5000 0.5000 0.0000 C
```

[9]
LuFeSnRu after structural relaxation, computed with PBE-GGA.

Values from the calculation:
Space group ... F-43m
Mass density ... 11.11 g/cm3
DFT formation energy ... -0.2243 eV per atom

Cell and atoms, written as POSCAR:
```
LuFeSnRu
1.0
0.0000 3.2290 3.2290
3.2290 0.0000 3.2290
3.2290 3.2290 0.0000
Lu Fe Sn Ru
1 1 1 1
direct
0.0000 0.0000 0.0000 Lu
0.7500 0.7500 0.7500 Fe
0.5000 0.5000 0.5000 Sn
0.2500 0.2500 0.2500 Ru
```

[10]
BaLi2PuCl8 after structural relaxation, computed with PBE-GGA.

Values from the calculation:
ΔE_f (raw) ... -1.85 eV/atom
Space group ... P-3
Mass density ... 3.48 g/cm3

Cell and atoms, written as POSCAR:
```
BaLi2PuCl8
1.0
6.3345 0.0000 0.0000
-3.1673 5.4858 0.0000
0.0000 0.0000 9.3307
Ba Li Pu Cl
1 2 1 8
direct
0.0000 0.0000 0.0000 Ba
0.3333 0.6667 0.7510 Li
0.6667 0.3333 0.2490 Li
0.0000 0.0000 0.5000 Pu
0.0214 0.6942 0.3234 Cl
0.3058 0.3272 0.3234 Cl
0.3272 0.0214 0.6766 Cl
0.3333 0.6667 0.9919 Cl
0.6667 0.3333 0.0081 Cl
0.6728 0.9786 0.3234 Cl
0.6942 0.6728 0.6766 Cl
0.9786 0.3058 0.6766 Cl
```

[11]
HfIn2ReS after structural relaxation, computed with PBE-GGA.

Values from the calculation:
ΔE_f (raw) ... 0.75 eV/atom
Space group ... P4/mmm
Mass density ... 8.39 g/cm3

Cell and atoms, written as POSCAR:
```
HfIn2ReS
1.0
5.3641 0.0000 0.0000
0.0000 5.3641 0.0000
0.0000 0.0000 4.3100
Hf In Re S
1 2 1 1
direct
0.0000 0.0000 0.0000 Hf
0.0000 0.5000 0.5000 In
0.5000 0.0000 0.5000 In
0.5000 0.5000 0.5000 Re
0.5000 0.5000 0.0000 S
```

[12]
H5AuCSBr3 after structural relaxation, computed with PBE-GGA.

Values from the calculation:
Space group ... P1
Final energy ... -3.70 eV/atom
Mass density ... 3.06 g/cm3

Cell and atoms, written as POSCAR:
```
H5AuCSBr3
1.0
7.3062 0.0000 0.0000
0.8042 10.1917 0.0000
1.1695 1.3071 14.1661
H Au C S Br
20 4 4 4 12
direct
0.0000 0.0000 0.0000 H
0.0002 0.4555 0.5567 H
0.0083 0.2907 0.5228 H
0.0276 0.8015 0.0251 H
0.2388 0.3735 0.9713 H
0.3623 0.4338 0.0614 H
0.4248 0.8987 0.6128 H
0.4359 0.2776 0.0180 H
0.4392 0.5779 0.8992 H
0.4607 0.4134 0.8305 H
0.5260 0.0932 0.7069 H
0.5396 0.0537 0.5352 H
0.6449 0.9404 0.7512 H
0.7707 0.0615 0.6796 H
0.7932 0.3921 0.5235 H
0.7931 0.9256 0.1470 H
0.8817 0.5659 0.3854 H
0.8943 0.3793 0.3450 H
0.9645 0.0124 0.1949 H
0.9700 0.8359 0.2147 H
0.0421 0.7250 0.7825 Au
0.0743 0.2462 0.8138 Au
0.4545 0.1643 0.3187 Au
0.4627 0.6656 0.2874 Au
0.3732 0.3767 0.9995 C
0.6376 0.0181 0.6929 C
0.9360 0.9217 0.1654 C
0.9431 0.3907 0.5115 C
0.0082 0.4507 0.3906 S
0.0938 0.9076 0.0618 S
0.5315 0.4556 0.9116 S
0.6019 0.9389 0.5884 S
0.1310 0.8294 0.6228 Br
0.1890 0.0485 0.3953 Br
0.2347 0.6073 0.1875 Br
0.3122 0.8067 0.8468 Br
0.3198 0.3542 0.7185 Br
0.4190 0.0658 0.1712 Br
0.4844 0.2605 0.4694 Br
0.6876 0.7259 0.3893 Br
0.7218 0.2786 0.2415 Br
0.7780 0.6371 0.7184 Br
0.8266 0.1397 0.9074 Br
0.9426 0.6310 0.9437 Br
```

no.,total magnetic moment (μB/f.u.)
1,0.00
2,1.54
3,2.00
4,0.00
5,0.00
6,0.00
7,0.00
8,0.00
9,0.88
10,4.00
11,0.00
12,0.00